Entry 1:
Below is CaZr2Br after structural relaxation, with properties calculated at the PBE level.

a = 3.3309 Å, b = 6.2031 Å, c = 5.0956 Å
α = 90.00°, β = 91.05°, γ = 90.00°
With the nearest neighbours (Å) after each atom.
Fractional coordinates of all 4 atoms:
Ca: 0.0000 0.0000 0.0000  4 Br 3.02-3.07, 2 Ca 3.33
Zr: 0.3093 0.5000 0.2300  2 Zr 2.69-3.01
Zr: 0.6907 0.5000 0.7700  2 Zr 2.69-3.01
Br: 0.5000 0.0000 0.5000  4 Ca 3.02-3.07, 2 Br 3.33

Symmetry: No. 10
Formation energy (no corrections): -0.0666 eV/atom
Theoretical density: 4.77 Mg/m³
DOS at the Fermi energy: 3.85 states/eV per cell

---

Entry 2:
Below is YSb2Cl after structural relaxation, with properties calculated at the PBE level.

a = 6.3355 Å, b = 6.3355 Å, c = 6.3355 Å
α = 140.61°, β = 140.61°, γ = 56.92°
With the nearest neighbours (Å) after each atom.
Fractional coordinates of all 4 atoms:
Y: 0.0000 0.0000 0.0000  4 Cl 3.02
Sb: 0.2500 0.7500 0.5000  4 Sb 3.02
Sb: 0.7500 0.2500 0.5000  4 Sb 3.02
Cl: 0.5000 0.5000 0.0000  4 Y 3.02

Symmetry: No. 139
Formation energy (no corrections): -0.8115 eV/atom
Theoretical density: 6.02 Mg/m³
DOS at the Fermi energy: 0.83 states/eV per cell

---

Entry 3:
Below is CdNiMo2 after structural relaxation, with properties calculated at the PBE level.

a = 2.6926 Å, b = 4.3355 Å, c = 5.3742 Å
α = 90.00°, β = 95.48°, γ = 90.00°
With the nearest neighbours (Å) after each atom.
Fractional coordinates of all 4 atoms:
Cd: 0.0000 0.0000 0.0000  2 Ni 2.69, 2 Cd 2.69, 8 Mo 2.93-2.97
Ni: 0.0000 0.0000 0.5000  2 Cd 2.69, 2 Ni 2.69, 8 Mo 2.73-2.92
Mo: 0.4655 0.5000 0.7239  3 Mo 2.43-2.69
Mo: 0.5345 0.5000 0.2761  3 Mo 2.43-2.69

Symmetry: No. 10
Theoretical density: 9.65 Mg/m³
E_form: 29.67 kJ per mole of atoms
DOS at the Fermi energy: 4.42 states/eV per cell

---

Entry 4:
Below is PrMgCd2 after structural relaxation, with properties calculated at the PBE level.

a = 5.2120 Å, b = 5.2120 Å, c = 5.2120 Å
α = 60.00°, β = 60.00°, γ = 60.00°
With the nearest neighbours (Å) after each atom.
Fractional coordinates of all 4 atoms:
Pr: 0.0000 0.0000 0.0000  8 Cd 3.19
Mg: 0.5000 0.5000 0.5000  8 Cd 3.19
Cd: 0.2500 0.2500 0.2500  4 Pr 3.19, 4 Mg 3.19
Cd: 0.7500 0.7500 0.7500  4 Pr 3.19, 4 Mg 3.19

Symmetry: No. 225
Theoretical density: 6.47 Mg/m³
E_form: -32.19 kJ per mole of atoms
DOS at the Fermi energy: 1.81 states/eV per cell

---

Entry 5:
Below is V5Ga2Ge2 after structural relaxation, with properties calculated at the PBE level.

a = 8.7412 Å, b = 8.7412 Å, c = 8.7412 Å
α = 60.36°, β = 149.91°, γ = 129.00°
With the nearest neighbours (Å) after each atom.
Fractional coordinates of all 18 atoms:
V: 0.0539 0.0867 0.1407  3 Ga 2.55-2.61, 3 Ge 2.55-2.80, 2 V 2.67
V: 0.0539 0.4133 0.4672  3 Ga 2.55-2.61, 3 Ge 2.55-2.80, 2 V 2.67
V: 0.2011 0.0350 0.6661  3 Ge 2.56-2.66, 2 Ga 2.57, 2 V 2.58
V: 0.3689 0.5350 0.3339  3 Ge 2.56-2.66, 2 Ga 2.57, 2 V 2.58
V: 0.6237 0.8111 0.1440  3 Ge 2.52-2.67, 3 V 2.55-2.67, 2 Ga 2.64-2.68
V: 0.6237 0.9796 0.3125  3 Ge 2.52-2.67, 3 V 2.55-2.67, 2 Ga 2.64-2.68
V: 0.6671 0.3111 0.6875  3 Ge 2.52-2.67, 3 V 2.55-2.67, 2 Ga 2.64-2.68
V: 0.6671 0.4796 0.8560  3 Ge 2.52-2.67, 3 V 2.55-2.67, 2 Ga 2.64-2.68
V: 0.9461 0.5867 0.5328  3 Ga 2.55-2.61, 3 Ge 2.55-2.80, 2 V 2.67
V: 0.9461 0.9133 0.8593  3 Ga 2.55-2.61, 3 Ge 2.55-2.80, 2 V 2.67
Ga: 0.2822 0.4193 0.0356  6 V 2.55-2.68, 1 Ga 2.65, 1 Ge 2.70
Ga: 0.2822 0.7467 0.3629  6 V 2.55-2.68, 1 Ga 2.65, 1 Ge 2.70
Ga: 0.3838 0.2467 0.9644  6 V 2.55-2.68, 1 Ga 2.65, 1 Ge 2.70
Ga: 0.3838 0.9193 0.6371  6 V 2.55-2.68, 1 Ga 2.65, 1 Ge 2.70
Ge: 0.0265 0.7061 0.8204  9 V 2.55-2.67
Ge: 0.6733 0.1733 0.5000  6 V 2.52-2.80, 2 Ga 2.70
Ge: 0.6733 0.6733 0.0000  6 V 2.52-2.80, 2 Ga 2.70
Ge: 0.8858 0.2061 0.1796  9 V 2.55-2.67

Symmetry: No. 46
Theoretical density: 6.94 Mg/m³
E_form: -6.70 kJ per mole of atoms
DOS at the Fermi energy: 12.50 states/eV per cell

---

Entry 6:
Below is Li3TlBi after structural relaxation, with properties calculated at the PBE level.

a = 6.8306 Å, b = 4.6465 Å, c = 7.4830 Å
α = 90.00°, β = 107.76°, γ = 90.00°
With the nearest neighbours (Å) after each atom.
Fractional coordinates of all 10 atoms:
Li: 0.0662 0.2500 0.1021  3 Li 2.75-2.78, 3 Bi 2.90-2.95
Li: 0.3488 0.2500 0.4533  3 Li 2.75-3.05, 3 Bi 2.86-3.00, 1 Tl 2.86
Li: 0.3944 0.7500 0.8231  3 Bi 2.94-3.00, 1 Li 3.09, 2 Tl 3.22
Li: 0.6056 0.2500 0.1769  3 Bi 2.94-3.00, 1 Li 3.09, 2 Tl 3.22
Li: 0.6512 0.7500 0.5467  3 Li 2.75-3.05, 3 Bi 2.86-3.00, 1 Tl 2.86
Li: 0.9338 0.7500 0.8979  3 Li 2.75-2.78, 3 Bi 2.90-2.95
Tl: 0.0600 0.2500 0.6607  3 Li 2.86-3.20, 1 Bi 3.19
Tl: 0.9400 0.7500 0.3393  3 Li 2.86-3.20, 1 Bi 3.19
Bi: 0.3334 0.7500 0.1950  9 Li 2.86-3.00, 1 Tl 3.19
Bi: 0.6666 0.2500 0.8050  9 Li 2.86-3.00, 1 Tl 3.19

Symmetry: No. 11
Theoretical density: 6.38 Mg/m³
E_form: -33.67 kJ per mole of atoms
DOS at the Fermi energy: 3.15 states/eV per cell

---

Entry 7:
Below is ZnI3Cl9 after structural relaxation, with properties calculated at the PBE level.

a = 11.8483 Å, b = 11.8483 Å, c = 10.7098 Å
α = 115.08°, β = 115.08°, γ = 62.25°
With the nearest neighbours (Å) after each atom.
Fractional coordinates of all 26 atoms:
Zn: 0.2023 0.7977 0.5000  3 Cl 2.22-2.32
Zn: 0.7977 0.2023 0.0000  3 Cl 2.22-2.32
I: 0.0082 0.7420 0.0809  1 Cl 2.41
I: 0.1008 0.2451 0.7154  2 Cl 2.37-2.49
I: 0.2451 0.1008 0.2154  2 Cl 2.37-2.49
I: 0.3982 0.7784 0.8613  3 Cl 2.40-2.57
I: 0.7420 0.0082 0.5809  1 Cl 2.41
I: 0.7784 0.3982 0.3613  3 Cl 2.40-2.57
Cl: 0.0579 0.4708 0.8908  1 I 2.49
Cl: 0.1418 0.9942 0.4691  1 Zn 2.22
Cl: 0.1515 0.7943 0.6847  1 Zn 2.32
Cl: 0.1685 0.3316 0.3332  1 I 2.37
Cl: 0.1853 0.6263 0.3011  1 Zn 2.25
Cl: 0.3213 0.8267 0.0753  2 I 2.57-2.81
Cl: 0.3316 0.1685 0.8332  1 I 2.37
Cl: 0.4448 0.7314 0.6292  1 Zn 2.50, 1 I 2.55
Cl: 0.4708 0.0579 0.3908  1 I 2.49
Cl: 0.6227 0.7609 0.0019  1 I 2.40
Cl: 0.6263 0.1853 0.8011  1 Zn 2.25
Cl: 0.7314 0.4448 0.1292  1 Zn 2.50, 1 I 2.55
Cl: 0.7609 0.6227 0.5019  1 I 2.40
Cl: 0.7943 0.1515 0.1847  1 Zn 2.32
Cl: 0.8267 0.3213 0.5753  2 I 2.57-2.81
Cl: 0.8384 0.8566 0.3863  1 I 2.41
Cl: 0.8566 0.8384 0.8863  1 I 2.41
Cl: 0.9942 0.1418 0.9691  1 Zn 2.22

Symmetry: No. 9
Formation energy (no corrections): -0.3794 eV/atom
Theoretical density: 2.20 Mg/m³

---

Entry 8:
Below is Tb2HoTm3As6 after structural relaxation, with properties calculated at the PBE level.

a = 9.1534 Å, b = 9.1534 Å, c = 8.1868 Å
α = 102.88°, β = 102.88°, γ = 25.85°
With the nearest neighbours (Å) after each atom.
Fractional coordinates of all 12 atoms:
Tb: 0.1665 0.1665 0.3329  6 As 2.91-2.92
Tb: 0.8335 0.8335 0.6671  6 As 2.91-2.92
Ho: 0.5000 0.5000 0.0000  6 As 2.90
Tm: 0.1668 0.1668 0.8334  6 As 2.88-2.89
Tm: 0.5000 0.5000 0.5000  6 As 2.88-2.89
Tm: 0.8332 0.8332 0.1666  6 As 2.88-2.89
As: 0.0012 0.0012 0.7491  3 Tm 2.88-2.89, 2 Ho 2.90, 1 Tb 2.91
As: 0.3329 0.3329 0.9199  3 Tm 2.88-2.89, 1 Ho 2.90, 2 Tb 2.91
As: 0.3344 0.3344 0.4141  3 Tm 2.88, 3 Tb 2.92
As: 0.6656 0.6656 0.5859  3 Tm 2.88, 3 Tb 2.92
As: 0.6671 0.6671 0.0801  3 Tm 2.88-2.89, 1 Ho 2.90, 2 Tb 2.91
As: 0.9988 0.9988 0.2509  3 Tm 2.88-2.89, 2 Ho 2.90, 1 Tb 2.91

Symmetry: No. 12
Theoretical density: 8.21 Mg/m³
E_form: -146.67 kJ per mole of atoms
DOS at the Fermi energy: 1.85 states/eV per cell

---

Entry 9:
Below is Mo2PtCl after structural relaxation, with properties calculated at the PBE level.

a = 2.7598 Å, b = 4.1310 Å, c = 5.9761 Å
α = 90.00°, β = 90.00°, γ = 90.00°
With the nearest neighbours (Å) after each atom.
Fractional coordinates of all 4 atoms:
Mo: 0.0000 0.0000 0.0000  1 Pt 2.67, 4 Cl 2.70, 6 Mo 2.76-2.81
Mo: 0.5000 0.5000 0.2183  1 Cl 2.36
Pt: 0.0000 0.0000 0.4470  5 Mo 2.67-2.84, 2 Pt 2.76
Cl: 0.5000 0.5000 0.8231  1 Mo 2.36

Symmetry: No. 25
Formation energy (no corrections): 0.3513 eV/atom
Theoretical density: 10.30 Mg/m³
DOS at the Fermi energy: 3.24 states/eV per cell

---

Entry 10:
Below is MgPt2W after structural relaxation, with properties calculated at the PBE level.

a = 4.6338 Å, b = 4.6338 Å, c = 4.6338 Å
α = 125.05°, β = 125.05°, γ = 81.46°
With the nearest neighbours (Å) after each atom.
Fractional coordinates of all 4 atoms:
Mg: 0.0000 0.0000 0.0000  8 Pt 2.77, 4 W 3.02
Pt: 0.2500 0.7500 0.5000  4 W 2.77, 4 Mg 2.77, 4 Pt 3.02
Pt: 0.7500 0.2500 0.5000  4 W 2.77, 4 Mg 2.77, 4 Pt 3.02
W: 0.5000 0.5000 0.0000  8 Pt 2.77, 4 Mg 3.02

Symmetry: No. 139
Theoretical density: 15.47 Mg/m³
E_form: -19.49 kJ per mole of atoms
DOS at the Fermi energy: 4.66 states/eV per cell

---

Entry 11:
Below is Rb2Tl4Cu after structural relaxation, with properties calculated at the PBE level.

a = 10.5680 Å, b = 10.5680 Å, c = 10.5680 Å
α = 150.86°, β = 150.86°, γ = 41.67°
With the nearest neighbours (Å) after each atom.
Fractional coordinates of all 7 atoms:
Rb: 0.1643 0.1643 0.0000  9 Tl 3.80-4.20
Rb: 0.8357 0.8357 0.0000  9 Tl 3.80-4.20
Tl: 0.0000 0.5000 0.5000  2 Cu 2.66
Tl: 0.3652 0.3652 0.0000  1 Cu 2.66
Tl: 0.5000 0.0000 0.5000  2 Cu 2.66
Tl: 0.6348 0.6348 0.0000  1 Cu 2.66
Cu: 0.5000 0.5000 0.0000  6 Tl 2.66

Symmetry: No. 139
Theoretical density: 6.26 Mg/m³
E_form: 6.79 kJ per mole of atoms
DOS at the Fermi energy: 2.53 states/eV per cell

---

> What is the theoretical density in the ninth record?

10.30 Mg/m³